[1]
A relaxed LiCdPd6 crystal, computed with GGA-PBE.

- space group = P-6m2, No. 187
- spin magnetization (μB/atom) = 0.000
- E_tot (eV per atom) = -4.468
- crystal system = hexagonal
- E_form (eV per atom) = -0.22

a b c (Å): 4.5829 5.6234 5.6234
angles (deg): 119.95 90.00 90.00
With the nearest neighbours (Å) after each atom.
Fractional coordinates of all 8 atoms:
Li (0.0000, 0.0836, 0.9164)  12 Pd 2.80-2.81
Cd (0.5000, 0.4164, 0.5836)  12 Pd 2.81-2.82
Pd (0.0000, 0.0791, 0.4143)  8 Pd 2.78-2.85, 2 Li 2.81, 2 Cd 2.82
Pd (0.0000, 0.5857, 0.9209)  8 Pd 2.78-2.85, 2 Li 2.81, 2 Cd 2.82
Pd (0.0000, 0.5855, 0.4145)  8 Pd 2.78-2.85, 2 Li 2.81, 2 Cd 2.82
Pd (0.5000, 0.4148, 0.0827)  8 Pd 2.80-2.83, 2 Li 2.80, 2 Cd 2.81
Pd (0.5000, 0.9173, 0.5852)  8 Pd 2.80-2.83, 2 Li 2.80, 2 Cd 2.81
Pd (0.5000, 0.9173, 0.0827)  8 Pd 2.80-2.83, 2 Li 2.81, 2 Cd 2.81



[2]
A relaxed Li2Cd5Pd12 crystal, computed with GGA-PBE.

- space group = C2/m, No. 12
- spin magnetization (μB/atom) = 0.000
- E_tot (eV per atom) = -3.917
- crystal system = monoclinic
- E_form (eV per atom) = -0.19

a b c (Å): 6.0510 7.8086 7.4763
angles (deg): 76.89 90.00 112.80
With the nearest neighbours (Å) after each atom.
Fractional coordinates of all 19 atoms:
Li (0.6756, 0.0000, 0.0000)  1 Li 2.12
Li (0.3244, 0.0000, 0.0000)  1 Li 2.12
Cd (0.2314, 0.4628, 0.7701)  7 Pd 2.65-2.85
Cd (0.3036, 0.6073, 0.2146)  8 Pd 2.80-3.06, 2 Cd 3.06, 2 Li 3.08
Cd (0.0000, 0.0000, 0.5000)  6 Pd 2.60-2.68
Cd (0.6964, 0.3927, 0.7854)  8 Pd 2.80-3.06, 2 Cd 3.06, 2 Li 3.08
Cd (0.7686, 0.5372, 0.2299)  7 Pd 2.65-2.85
Pd (0.9570, 0.9140, 0.1823)  2 Li 2.38, 2 Cd 2.60-2.65
Pd (0.0787, 0.7084, 0.8949)  1 Li 2.49, 2 Pd 2.72-2.75, 1 Cd 2.75
Pd (0.6297, 0.7084, 0.8949)  1 Li 2.49, 2 Pd 2.72-2.75, 1 Cd 2.75
Pd (0.1023, 0.6949, 0.5013)  4 Cd 2.68-2.99, 5 Pd 2.81-2.97
Pd (0.5926, 0.6949, 0.5013)  4 Cd 2.68-2.99, 5 Pd 2.81-2.97
Pd (0.4906, 0.9813, 0.6846)  2 Li 2.62, 5 Pd 2.71-2.82
Pd (0.5094, 0.0187, 0.3154)  2 Li 2.62, 5 Pd 2.71-2.82
Pd (0.8977, 0.3051, 0.4987)  4 Cd 2.68-2.99, 5 Pd 2.81-2.97
Pd (0.4074, 0.3051, 0.4987)  4 Cd 2.68-2.99, 5 Pd 2.81-2.97
Pd (0.9213, 0.2916, 0.1051)  1 Li 2.49, 2 Pd 2.72-2.75, 1 Cd 2.75
Pd (0.3703, 0.2916, 0.1051)  1 Li 2.49, 2 Pd 2.72-2.75, 1 Cd 2.75
Pd (0.0430, 0.0860, 0.8177)  2 Li 2.38, 2 Cd 2.60-2.65



[3]
A relaxed Li12Cd2Pd5 crystal, computed with GGA-PBE.

- space group = C2/m, No. 12
- spin magnetization (μB/atom) = 0.000
- E_tot (eV per atom) = -2.934
- crystal system = monoclinic
- E_form (eV per atom) = -0.26

a b c (Å): 6.6261 7.2894 7.2894
angles (deg): 62.04 83.21 83.21
With the nearest neighbours (Å) after each atom.
Fractional coordinates of all 19 atoms:
Li (0.1806, 0.1401, 0.1401)  3 Pd 2.50-2.69, 2 Li 2.71, 2 Cd 2.74
Li (0.8123, 0.0662, 0.4404)  5 Li 2.58-2.81, 3 Pd 2.60-2.86
Li (0.8123, 0.4404, 0.0662)  5 Li 2.58-2.81, 3 Pd 2.60-2.86
Li (0.4177, 0.1580, 0.6228)  4 Pd 2.53-2.77, 2 Li 2.58-2.76
Li (0.4177, 0.6228, 0.1580)  4 Pd 2.53-2.77, 2 Li 2.58-2.76
Li (0.7380, 0.4476, 0.4476)  2 Pd 2.55-2.77, 4 Li 2.76-2.79
Li (0.2620, 0.5524, 0.5524)  2 Pd 2.55-2.77, 4 Li 2.76-2.79
Li (0.5823, 0.8420, 0.3772)  4 Pd 2.53-2.77, 2 Li 2.58-2.76
Li (0.5823, 0.3772, 0.8420)  4 Pd 2.53-2.77, 2 Li 2.58-2.76
Li (0.1877, 0.9338, 0.5596)  5 Li 2.58-2.81, 3 Pd 2.60-2.86
Li (0.1877, 0.5596, 0.9338)  5 Li 2.58-2.81, 3 Pd 2.60-2.86
Li (0.8194, 0.8599, 0.8599)  3 Pd 2.50-2.69, 2 Li 2.71, 2 Cd 2.74
Cd (0.0000, 0.7929, 0.2071)  6 Li 2.74-2.95, 2 Pd 2.86
Cd (0.0000, 0.2071, 0.7929)  6 Li 2.74-2.95, 2 Pd 2.86
Pd (0.4874, 0.2365, 0.2365)  7 Li 2.50-2.60, 1 Pd 2.75
Pd (0.1070, 0.3576, 0.3576)  7 Li 2.55-2.77, 1 Pd 2.75
Pd (0.5000, 0.0000, 0.0000)  6 Li 2.53-2.55
Pd (0.8930, 0.6424, 0.6424)  7 Li 2.55-2.77, 1 Pd 2.75
Pd (0.5126, 0.7635, 0.7635)  7 Li 2.50-2.60, 1 Pd 2.75



[4]
A relaxed Li14CdPd crystal, computed with GGA-PBE.

- space group = Amm2, No. 38
- spin magnetization (μB/atom) = 0.000
- E_tot (eV per atom) = -2.151
- crystal system = orthorhombic
- E_form (eV per atom) = -0.09

a b c (Å): 5.9662 5.9662 9.5331
angles (deg): 90.00 90.00 120.83
With the nearest neighbours (Å) after each atom.
Fractional coordinates of all 16 atoms:
Li (0.2122, 0.7878, 0.0000)  12 Li 2.95-3.11
Li (0.7103, 0.2897, 0.0000)  12 Li 2.94-3.05
Li (0.0334, 0.4601, 0.5000)  8 Li 2.80-2.98, 2 Cd 2.96-3.00, 2 Pd 2.98-2.99
Li (0.2156, 0.2924, 0.0000)  12 Li 2.90-3.05
Li (0.5399, 0.9666, 0.5000)  8 Li 2.80-2.98, 2 Cd 2.96-3.00, 2 Pd 2.98-2.99
Li (0.7076, 0.7844, 0.0000)  12 Li 2.90-3.05
Li (0.3816, 0.1371, 0.7328)  1 Pd 2.78, 10 Li 2.80-3.11, 1 Cd 2.84
Li (0.3816, 0.1371, 0.2672)  1 Pd 2.78, 10 Li 2.80-3.11, 1 Cd 2.84
Li (0.8629, 0.6184, 0.7328)  1 Pd 2.78, 10 Li 2.80-3.11, 1 Cd 2.84
Li (0.8629, 0.6184, 0.2672)  1 Pd 2.78, 10 Li 2.80-3.11, 1 Cd 2.84
Li (0.3821, 0.6179, 0.7318)  1 Pd 2.72, 6 Li 2.84-2.95
Li (0.3821, 0.6179, 0.2682)  1 Pd 2.72, 6 Li 2.84-2.95
Li (0.8784, 0.1216, 0.7513)  1 Cd 2.90, 11 Li 2.93-3.02
Li (0.8784, 0.1216, 0.2487)  1 Cd 2.90, 11 Li 2.93-3.02
Cd (0.0356, 0.9644, 0.5000)  10 Li 2.84-3.00, 2 Pd 2.95
Pd (0.5354, 0.4646, 0.5000)  10 Li 2.72-2.99, 2 Cd 2.95



[5]
A relaxed Li8Cd2Pd crystal, computed with GGA-PBE.

- space group = C2/m, No. 12
- spin magnetization (μB/atom) = 0.000
- E_tot (eV per atom) = -2.190
- crystal system = monoclinic
- E_form (eV per atom) = -0.16

a b c (Å): 6.3076 7.7981 7.7981
angles (deg): 38.88 58.20 58.20
With the nearest neighbours (Å) after each atom.
Fractional coordinates of all 11 atoms:
Li (0.7572, 0.1874, 0.6836)  1 Pd 2.57, 4 Li 2.58-2.80, 1 Cd 2.84
Li (0.2428, 0.3164, 0.8126)  1 Pd 2.57, 4 Li 2.58-2.80, 1 Cd 2.84
Li (0.8096, 0.2369, 0.2369)  5 Li 2.80-3.04, 3 Cd 2.91-3.03, 1 Pd 2.98
Li (0.1904, 0.7631, 0.7631)  5 Li 2.80-3.04, 3 Cd 2.91-3.03, 1 Pd 2.98
Li (0.7572, 0.6836, 0.1874)  1 Pd 2.57, 4 Li 2.58-2.80, 1 Cd 2.84
Li (0.2428, 0.8126, 0.3164)  1 Pd 2.57, 4 Li 2.58-2.80, 1 Cd 2.84
Li (0.2376, 0.3888, 0.3888)  3 Cd 2.82-3.02, 6 Li 2.90-3.00, 2 Pd 2.99
Li (0.7624, 0.6112, 0.6112)  3 Cd 2.82-3.02, 6 Li 2.90-3.00, 2 Pd 2.99
Cd (0.4738, 0.1597, 0.1597)  1 Pd 2.80, 10 Li 2.82-3.03
Cd (0.5262, 0.8403, 0.8403)  1 Pd 2.80, 10 Li 2.82-3.03
Pd (0.0000, 0.0000, 0.0000)  4 Li 2.57, 2 Cd 2.80



[6]
A relaxed Li6CdPd8 crystal, computed with GGA-PBE.

- space group = R-3, No. 148
- spin magnetization (μB/atom) = 0.000
- E_tot (eV per atom) = -3.831
- crystal system = trigonal
- E_form (eV per atom) = -0.23

a b c (Å): 6.8922 6.8922 6.8922
angles (deg): 60.12 60.12 60.12
With the nearest neighbours (Å) after each atom.
Fractional coordinates of all 15 atoms:
Li (0.5864, 0.3856, 0.8711)  2 Pd 2.39-2.58, 1 Li 2.42
Li (0.3856, 0.8711, 0.5864)  2 Pd 2.39-2.58, 1 Li 2.42
Li (0.8711, 0.5864, 0.3856)  2 Pd 2.39-2.58, 1 Li 2.42
Li (0.4136, 0.6144, 0.1289)  2 Pd 2.39-2.58, 1 Li 2.42
Li (0.6144, 0.1289, 0.4136)  2 Pd 2.39-2.58, 1 Li 2.42
Li (0.1289, 0.4136, 0.6144)  2 Pd 2.39-2.58, 1 Li 2.42
Cd (0.0000, 0.0000, 0.0000)  6 Pd 2.76, 6 Li 2.93
Pd (0.7424, 0.7424, 0.7424)  6 Li 2.58-2.74, 6 Pd 2.81-2.86
Pd (0.2576, 0.2576, 0.2576)  6 Li 2.58-2.74, 6 Pd 2.81-2.86
Pd (0.6320, 0.8518, 0.1361)  1 Li 2.39, 1 Pd 2.62
Pd (0.8518, 0.1361, 0.6320)  1 Li 2.39, 1 Pd 2.62
Pd (0.1361, 0.6320, 0.8518)  1 Li 2.39, 1 Pd 2.62
Pd (0.3680, 0.1482, 0.8639)  1 Li 2.39, 1 Pd 2.62
Pd (0.1482, 0.8639, 0.3680)  1 Li 2.39, 1 Pd 2.62
Pd (0.8639, 0.3680, 0.1482)  1 Li 2.39, 1 Pd 2.62



[7]
A relaxed Li5CdPd crystal, computed with GGA-PBE.

- space group = P4/mmm, No. 123
- spin magnetization (μB/atom) = 0.000
- E_tot (eV per atom) = -2.416
- crystal system = tetragonal
- E_form (eV per atom) = -0.18

a b c (Å): 3.9270 3.9270 8.0887
angles (deg): 90.00 90.00 90.00
With the nearest neighbours (Å) after each atom.
Fractional coordinates of all 7 atoms:
Li (0.5000, 0.0000, 0.2635)  2 Pd 2.74, 6 Li 2.74-2.78, 2 Cd 2.90
Li (0.0000, 0.5000, 0.2635)  2 Pd 2.74, 6 Li 2.74-2.78, 2 Cd 2.90
Li (0.0000, 0.0000, 0.5000)  8 Li 2.74, 4 Pd 2.78
Li (0.0000, 0.5000, 0.7365)  2 Pd 2.74, 6 Li 2.74-2.78, 2 Cd 2.90
Li (0.5000, 0.0000, 0.7365)  2 Pd 2.74, 6 Li 2.74-2.78, 2 Cd 2.90
Cd (0.0000, 0.0000, 0.0000)  8 Li 2.90
Pd (0.5000, 0.5000, 0.5000)  12 Li 2.74-2.78



[8]
A relaxed Li12Cd5Pd2 crystal, computed with GGA-PBE.

- space group = C2/m, No. 12
- spin magnetization (μB/atom) = 0.000
- E_tot (eV per atom) = -2.237
- crystal system = monoclinic
- E_form (eV per atom) = -0.24

a b c (Å): 4.5657 10.1172 10.1172
angles (deg): 48.14 76.98 76.98
With the nearest neighbours (Å) after each atom.
Fractional coordinates of all 19 atoms:
Li (0.0939, 0.9057, 0.9057)  2 Pd 2.54, 2 Li 2.79, 4 Cd 2.80-2.84
Li (0.1898, 0.5430, 0.0767)  4 Li 2.79-3.05, 4 Cd 2.90-3.00
Li (0.1898, 0.0767, 0.5430)  4 Li 2.79-3.05, 4 Cd 2.90-3.00
Li (0.5763, 0.6303, 0.2134)  2 Pd 2.72-2.73, 2 Cd 2.78-2.84, 4 Li 2.80-3.04
Li (0.5763, 0.2134, 0.6303)  2 Pd 2.72-2.73, 2 Cd 2.78-2.84, 4 Li 2.80-3.04
Li (0.0724, 0.4246, 0.4246)  2 Pd 2.60, 7 Li 2.70-2.86
Li (0.9276, 0.5754, 0.5754)  2 Pd 2.60, 7 Li 2.70-2.86
Li (0.4237, 0.3697, 0.7866)  2 Pd 2.72-2.73, 2 Cd 2.78-2.84, 4 Li 2.80-3.04
Li (0.4237, 0.7866, 0.3697)  2 Pd 2.72-2.73, 2 Cd 2.78-2.84, 4 Li 2.80-3.04
Li (0.8102, 0.4570, 0.9233)  4 Li 2.79-3.05, 4 Cd 2.90-3.00
Li (0.8102, 0.9233, 0.4570)  4 Li 2.79-3.05, 4 Cd 2.90-3.00
Li (0.9061, 0.0943, 0.0943)  2 Pd 2.54, 2 Li 2.79, 4 Cd 2.80-2.84
Cd (0.3143, 0.1855, 0.1855)  6 Li 2.80-3.08, 2 Cd 3.01-3.02
Cd (0.7048, 0.2957, 0.2957)  8 Li 2.84-3.00, 2 Cd 3.01-3.02
Cd (0.5000, 0.0000, 0.0000)  8 Li 2.78-2.84, 4 Pd 2.97
Cd (0.2952, 0.7043, 0.7043)  8 Li 2.84-3.00, 2 Cd 3.01-3.02
Cd (0.6857, 0.8145, 0.8145)  6 Li 2.80-3.08, 2 Cd 3.01-3.02
Pd (0.0000, 0.2306, 0.7694)  8 Li 2.54-2.73
Pd (0.0000, 0.7694, 0.2306)  8 Li 2.54-2.73



[9]
A relaxed Li12CdPd6 crystal, computed with GGA-PBE.

- space group = R-3, No. 148
- spin magnetization (μB/atom) = 0.000
- E_tot (eV per atom) = -3.153
- crystal system = trigonal
- E_form (eV per atom) = -0.26

a b c (Å): 7.0472 7.0472 7.0472
angles (deg): 107.47 107.47 107.47
With the nearest neighbours (Å) after each atom.
Fractional coordinates of all 19 atoms:
Li (0.4557, 0.1971, 0.5731)  5 Li 2.53-2.80, 4 Pd 2.57-2.81
Li (0.1971, 0.5731, 0.4557)  5 Li 2.53-2.80, 4 Pd 2.57-2.81
Li (0.5731, 0.4557, 0.1971)  5 Li 2.53-2.80, 4 Pd 2.57-2.81
Li (0.5443, 0.8029, 0.4269)  5 Li 2.53-2.80, 4 Pd 2.57-2.81
Li (0.8029, 0.4269, 0.5443)  5 Li 2.53-2.80, 4 Pd 2.57-2.81
Li (0.4269, 0.5443, 0.8029)  5 Li 2.53-2.80, 4 Pd 2.57-2.81
Li (0.2849, 0.1423, 0.8317)  3 Li 2.53-2.80, 4 Pd 2.55-2.78, 1 Cd 2.72
Li (0.1683, 0.7151, 0.8577)  3 Li 2.53-2.80, 4 Pd 2.55-2.78, 1 Cd 2.72
Li (0.8577, 0.1683, 0.7151)  3 Li 2.53-2.80, 4 Pd 2.55-2.78, 1 Cd 2.72
Li (0.7151, 0.8577, 0.1683)  3 Li 2.53-2.80, 4 Pd 2.55-2.78, 1 Cd 2.72
Li (0.8317, 0.2849, 0.1423)  3 Li 2.53-2.80, 4 Pd 2.55-2.78, 1 Cd 2.72
Li (0.1423, 0.8317, 0.2849)  3 Li 2.53-2.80, 4 Pd 2.55-2.78, 1 Cd 2.72
Cd (0.0000, 0.0000, 0.0000)  6 Li 2.72, 6 Pd 3.02
Pd (0.0582, 0.1979, 0.4695)  9 Li 2.55-2.84
Pd (0.8021, 0.5305, 0.9418)  9 Li 2.55-2.84
Pd (0.5305, 0.9418, 0.8021)  9 Li 2.55-2.84
Pd (0.9418, 0.8021, 0.5305)  9 Li 2.55-2.84
Pd (0.1979, 0.4695, 0.0582)  9 Li 2.55-2.84
Pd (0.4695, 0.0582, 0.1979)  9 Li 2.55-2.84